No. 1
First-principles (PBE) data for crystalline CePaIn6 at its relaxed geometry, as listed in Alexandria.

It has space group P4/mmm (No. 123), with a = 4.6792 Å, b = 4.6792 Å, c = 9.3609 Å, α = 90.00°, β = 90.00° and γ = 90.00°. The inequivalent atoms are Ce at (0.0000, 0.0000, 0.0000), Pa at (0.0000, 0.0000, 0.5000), In at (0.0000, 0.5000, 0.2520), In at (0.5000, 0.5000, 0.0000) and In at (0.5000, 0.5000, 0.5000).

The calculation puts the magnetization at 1.96 μB/f.u. The value obtained for the total DFT energy (no corrections) is -4.253 eV/atom.

No. 2
First-principles (PBE) data for crystalline CePaIn at its relaxed geometry, as listed in Alexandria.

It has space group Pmmm (No. 47), with a = 3.0603 Å, b = 5.4268 Å, c = 8.9048 Å, α = 90.00°, β = 90.00° and γ = 90.00°. The inequivalent atoms are Ce at (0.0000, 0.0000, 0.1573), Pa at (0.0000, 0.5000, 0.3477), In at (0.5000, 0.0000, 0.5000) and In at (0.5000, 0.5000, 0.0000).

The calculation puts the magnetization at 0.32 μB/f.u. The value obtained for the total DFT energy (no corrections) is -6.091 eV/atom. Its relative energy among the computed polymorphs is 0.0 meV/atom.

No. 3
First-principles (PBE) data for crystalline CePaIn at its relaxed geometry, as listed in Alexandria.

It has space group I4mm (No. 107), with a = 3.8297 Å, b = 3.8297 Å, c = 10.4414 Å, α = 90.00°, β = 90.00° and γ = 90.00°. The inequivalent atoms are Ce at (0.0000, 0.0000, 0.0000), Pa at (0.0000, 0.0000, 0.3747) and In at (0.0000, 0.0000, 0.6876).

The calculation puts the magnetization at 0.74 μB/f.u. The value obtained for the total DFT energy (no corrections) is -6.017 eV/atom. Its relative energy among the computed polymorphs is 74.2 meV/atom.

No. 4
First-principles (PBE) data for crystalline CePaIn at its relaxed geometry, as listed in Alexandria.

It has space group P-6m2 (No. 187), with a = 5.2451 Å, b = 5.2451 Å, c = 3.0470 Å, α = 90.00°, β = 90.00° and γ = 120.00°. The inequivalent atoms are Ce at (0.0000, 0.0000, 0.0000), Pa at (0.3333, 0.6667, 0.0000) and In at (0.6667, 0.3333, 0.5000).

The calculation puts the magnetization at 0.29 μB/f.u. The value obtained for the total DFT energy (no corrections) is -6.077 eV/atom. Its relative energy among the computed polymorphs is 13.4 meV/atom.

Question: Which formula does entry 4 have?
Answer: CePaIn